Computed, not measured: a geometry-optimized KLiBrF6 structure at the PBE-GGA level of DFT.

a = 5.4412 Å, b = 5.4564 Å, c = 5.7327 Å
α = 91.00°, β = 91.14°, γ = 115.85°
With the nearest neighbours (Å) after each atom.
Space group P1 (No. 1)
Unique sites:
K 0.0000 0.0000 0.0000 (multiplicity 1)  6 F 2.60-2.77
Li 0.3094 0.6930 0.5014 (multiplicity 1)  2 F 1.89-1.90
Br 0.6598 0.3414 0.5003 (multiplicity 1)  4 F 1.91-1.92
F 0.0284 0.6405 0.2778 (multiplicity 1)  1 Li 1.89
F 0.3629 0.9734 0.7246 (multiplicity 1)  1 Li 1.90
F 0.3698 0.3600 0.3186 (multiplicity 1)  1 Br 1.91
F 0.6387 0.0375 0.3154 (multiplicity 1)  1 Br 1.91
F 0.6406 0.6308 0.6811 (multiplicity 1)  1 Br 1.92
F 0.9650 0.3635 0.6861 (multiplicity 1)  1 Br 1.91

Computed properties:
**Formation energy without anion corrections**: -1.761 eV per atom
**Calculated density**: 2.6 g/cm3
**DFT total energy**: -0.2594 Ry per atom
**Magnetic moment**: 1.000 μB/cell



Computed, not measured: a geometry-optimized KLiBrF structure at the PBE-GGA level of DFT.

a = 4.1165 Å, b = 4.1165 Å, c = 19.7171 Å
α = 90.00°, β = 90.00°, γ = 120.00°
With the nearest neighbours (Å) after each atom.
Space group R3m (No. 160, hexagonal axes)
Unique sites:
K 0.0000 0.0000 0.0000 (multiplicity 3)  3 F 2.60
Li 0.0000 0.0000 0.8112 (multiplicity 3)  1 F 1.80
Br 0.0000 0.0000 0.5326 (multiplicity 3)  3 Li 2.61
F 0.0000 0.0000 0.7199 (multiplicity 3)  1 Li 1.80

Computed properties:
**Relative energy among the computed polymorphs**: 20.2 meV per atom
**Formation energy without anion corrections**: -2.192 eV per atom
**Calculated density**: 2.5 g/cm3
**DFT total energy**: -0.2816 Ry per atom
**Magnetic moment**: 0.000 μB/cell



Computed, not measured: a geometry-optimized KLiBrF structure at the PBE-GGA level of DFT.

a = 4.1612 Å, b = 4.1612 Å, c = 19.3210 Å
α = 90.00°, β = 90.00°, γ = 120.00°
With the nearest neighbours (Å) after each atom.
Space group R3m (No. 160, hexagonal axes)
Unique sites:
K 0.0000 0.0000 0.0000 (multiplicity 3)  3 F 2.60
Li 0.0000 0.0000 0.5221 (multiplicity 3)  1 F 1.80
Br 0.0000 0.0000 0.8027 (multiplicity 3)  3 Li 2.61
F 0.0000 0.0000 0.6151 (multiplicity 3)  1 Li 1.80

Computed properties:
**Relative energy among the computed polymorphs**: 8.1 meV per atom
**Formation energy without anion corrections**: -2.204 eV per atom
**Calculated density**: 2.5 g/cm3
**DFT total energy**: -0.2824 Ry per atom
**Magnetic moment**: 0.000 μB/cell



Computed, not measured: a geometry-optimized KLiBrF structure at the PBE-GGA level of DFT.

a = 12.6309 Å, b = 3.6946 Å, c = 3.7512 Å
α = 90.00°, β = 90.25°, γ = 90.00°
With the nearest neighbours (Å) after each atom.
Space group Cm (No. 8)
Unique sites:
K 0.0000 0.0000 0.0000 (multiplicity 2)  4 F 2.72
Li 0.2996 0.0000 0.4965 (multiplicity 2)  1 F 1.83
Br 0.2334 0.5000 0.9953 (multiplicity 2)  4 Li 2.76
F 0.4444 0.0000 0.4992 (multiplicity 2)  1 Li 1.83

Computed properties:
**Relative energy among the computed polymorphs**: 29.9 meV per atom
**Formation energy without anion corrections**: -2.182 eV per atom
**Calculated density**: 2.7 g/cm3
**DFT total energy**: -0.2808 Ry per atom
**Magnetic moment**: 0.000 μB/cell



Computed, not measured: a geometry-optimized KLiBrF structure at the PBE-GGA level of DFT.

a = 4.8831 Å, b = 3.7614 Å, c = 5.3460 Å
α = 90.00°, β = 90.37°, γ = 90.00°
With the nearest neighbours (Å) after each atom.
Space group Pm (No. 6)
Unique sites:
K 0.0000 0.0000 0.0000 (multiplicity 1)  2 F 2.62
Li 0.5025 0.5000 0.3153 (multiplicity 1)  2 F 2.02
Br 0.0039 0.5000 0.5095 (multiplicity 1)  2 Li 2.65
F 0.5014 0.0000 0.1770 (multiplicity 1)  2 Li 2.02

Computed properties:
**Relative energy among the computed polymorphs**: 77.0 meV per atom
**Formation energy without anion corrections**: -2.135 eV per atom
**Calculated density**: 2.5 g/cm3
**DFT total energy**: -0.2774 Ry per atom
**Magnetic moment**: 0.000 μB/cell



Computed, not measured: a geometry-optimized KLiBrF structure at the PBE-GGA level of DFT.

a = 3.7073 Å, b = 4.1701 Å, c = 11.4433 Å
α = 90.00°, β = 90.00°, γ = 90.00°
With the nearest neighbours (Å) after each atom.
Space group Amm2 (No. 38)
Unique sites:
K 0.0000 0.0000 0.0000 (multiplicity 2)  2 F 2.64
Li 0.5000 0.0000 0.2939 (multiplicity 2)  2 F 2.00
Br 0.5000 0.0000 0.6569 (multiplicity 2)  2 Li 2.61
F 0.0000 0.0000 0.3590 (multiplicity 2)  2 Li 2.00

Computed properties:
**Relative energy among the computed polymorphs**: 70.7 meV per atom
**Formation energy without anion corrections**: -2.141 eV per atom
**Calculated density**: 2.7 g/cm3
**DFT total energy**: -0.2778 Ry per atom
**Magnetic moment**: 0.000 μB/cell